An optimized crystal structure of La2ZrTc, computed with GGA-PBE.

Cell and atoms, written as POSCAR:
```
La2ZrTc
1.0
3.6501 0.0000 0.0000
0.0000 5.1460 0.0000
0.0000 0.0000 5.1314
La Tc Zr
2 1 1
direct
0.0000 0.0000 0.0000
0.5000 0.5000 0.0000
0.5000 0.0000 0.5000
0.0000 0.5000 0.5000
```

## Properties
* D(E_F): 5.32 states/eV per cell
* E_tot: -6.801 eV/atom
* energy relative to the elements: 1.6 eV/f.u.
* energy above the lowest structure with this stoichiometry: 384.0 meV/atom